Density functional theory data (PBE-GGA) for a relaxed structure of Sm7Er2Th2.

Values from the calculation:
* formation energy: 0.18 eV/atom
* offset from the most stable computed form: 0.00 eV per formula unit
* SG: C2/m (12)

Cell: 6.1306 8.0536 8.0536 Å, 90.92 74.41 74.41°
Fractional positions:
Sm 0.1715 0.0584 0.5870
Sm 0.8285 0.4130 0.9416
Sm 0.8285 0.9416 0.4130
Sm 0.1715 0.5870 0.0584
Sm 0.0000 0.0000 0.0000
Sm 0.5886 0.7673 0.7673
Sm 0.4114 0.2327 0.2327
Er 0.5000 0.2220 0.7780
Er 0.5000 0.7780 0.2220
Th 0.8037 0.4243 0.4243
Th 0.1963 0.5757 0.5757